No. 1
# MnTcPt14 | Alexandria | PBE | relaxed
data_MnTcPt14
_chemical_formula_sum 'Mn1 Tc1 Pt14'
_cell_length_a 5.603
_cell_length_b 5.603
_cell_length_c 7.869
_cell_angle_alpha 90.00
_cell_angle_beta 90.00
_cell_angle_gamma 90.00
_symmetry_space_group_name_H-M 'P 4/m m m'
_symmetry_Int_Tables_number 123
_symmetry_space_group_name_Hall '-P 4 2'
loop_
_atom_site_label
_atom_site_type_symbol
_atom_site_fract_x
_atom_site_fract_y
_atom_site_fract_z
Mn1 Mn 0.000 0.000 0.000
Tc1 Tc 0.500 0.500 0.000
Pt1 Pt 0.000 0.000 0.500
Pt2 Pt 0.000 0.500 0.000
Pt3 Pt 0.000 0.500 0.500
Pt4 Pt 0.251 0.251 0.243
Pt5 Pt 0.500 0.500 0.500
# **Total moment**: 4.2 μB per cell
# **ρ**: 19.4 Mg/m³
# **Calculated total energy**: -6.643 eV/atom

---

No. 2
# Hf3ZrTl3Te8 | Alexandria | PBE | relaxed
data_Hf3ZrTl3Te8
_chemical_formula_sum 'Hf6 Zr2 Tl6 Te16'
_cell_length_a 13.897
_cell_length_b 8.031
_cell_length_c 9.890
_cell_angle_alpha 90.00
_cell_angle_beta 117.93
_cell_angle_gamma 90.00
_symmetry_space_group_name_H-M 'C 1 2/m 1'
_symmetry_Int_Tables_number 12
loop_
_symmetry_equiv_pos_as_xyz
'x,y,z'
'-x,-y,-z'
'-x,y,-z'
'x,-y,z'
'x+1/2,y+1/2,z'
'-x+1/2,-y+1/2,-z'
'-x+1/2,y+1/2,-z'
'x+1/2,-y+1/2,z'
loop_
_atom_site_label
_atom_site_type_symbol
_atom_site_fract_x
_atom_site_fract_y
_atom_site_fract_z
Hf1 Hf 0.000 0.000 0.000
Hf2 Hf 0.250 0.250 0.000
Zr1 Zr 0.000 0.500 0.000
Tl1 Tl 0.000 0.500 0.500
Tl2 Tl 0.250 0.250 0.500
Te1 Te 0.016 0.247 0.796
Te2 Te 0.234 0.000 0.200
Te3 Te 0.237 0.500 0.204
# **Total moment**: 0.0 μB per cell
# **ρ**: 7.7 Mg/m³
# **Formation energy without anion corrections**: -15.036 kcal/mol of atoms

---

No. 3
# Pu5Bi2As2 | Alexandria | PBE | relaxed
data_Pu5Bi2As2
_chemical_formula_sum 'Pu20 Bi8 As8'
_cell_length_a 15.700
_cell_length_b 8.020
_cell_length_c 8.014
_cell_angle_alpha 90.00
_cell_angle_beta 90.00
_cell_angle_gamma 90.00
_symmetry_space_group_name_H-M 'C m c e'
_symmetry_Int_Tables_number 64
_symmetry_space_group_name_Hall '-C 2ac 2'
loop_
_atom_site_label
_atom_site_type_symbol
_atom_site_fract_x
_atom_site_fract_y
_atom_site_fract_z
Pu1 Pu 0.000 0.000 0.000
Pu2 Pu 0.122 0.152 0.348
Bi1 Bi 0.205 0.000 0.000
As1 As 0.000 0.150 0.650
# **Total moment**: 112.0 μB per cell
# **ρ**: 11.8 Mg/m³
# **Calculated total energy**: -10.492 eV/atom

---

No. 4
# Ac2Sn3Pd2 | Alexandria | PBE | relaxed
data_Ac2Sn3Pd2
_chemical_formula_sum 'Ac4 Sn6 Pd4'
_cell_length_a 10.976
_cell_length_b 4.662
_cell_length_c 7.690
_cell_angle_alpha 90.00
_cell_angle_beta 109.49
_cell_angle_gamma 90.00
_symmetry_space_group_name_H-M 'C 1 2/m 1'
_symmetry_Int_Tables_number 12
loop_
_symmetry_equiv_pos_as_xyz
'x,y,z'
'-x,-y,-z'
'-x,y,-z'
'x,-y,z'
'x+1/2,y+1/2,z'
'-x+1/2,-y+1/2,-z'
'-x+1/2,y+1/2,-z'
'x+1/2,-y+1/2,z'
loop_
_atom_site_label
_atom_site_type_symbol
_atom_site_fract_x
_atom_site_fract_y
_atom_site_fract_z
Ac1 Ac 0.151 0.000 0.291
Sn1 Sn 0.000 0.500 0.500
Sn2 Sn 0.118 0.500 0.943
Pd1 Pd 0.147 0.000 0.756
# **Total moment**: 0.0 μB per cell
# **ρ**: 9.2 Mg/m³
# **Distance to the lowest polymorph of the same formula**: 0.0384 eV per atom

---

No. 5
# SnAsSBr2 | Alexandria | PBE | relaxed
data_SnAsSBr2
_chemical_formula_sum 'Sn1 As1 S1 Br2'
_cell_length_a 5.368
_cell_length_b 5.368
_cell_length_c 5.756
_cell_angle_alpha 90.00
_cell_angle_beta 90.00
_cell_angle_gamma 90.00
_symmetry_space_group_name_H-M 'P 4/m m m'
_symmetry_Int_Tables_number 123
_symmetry_space_group_name_Hall '-P 4 2'
loop_
_atom_site_label
_atom_site_type_symbol
_atom_site_fract_x
_atom_site_fract_y
_atom_site_fract_z
Sn1 Sn 0.000 0.000 0.000
As1 As 0.000 0.000 0.500
S1 S 0.500 0.500 0.500
Br1 Br 0.000 0.500 0.000
# **Total moment**: 0.9 μB per cell
# **ρ**: 3.9 Mg/m³
# **Formation energy without anion corrections**: 13.455 kcal/mol of atoms
# **Distance to the lowest polymorph of the same formula**: 0.2226 eV per atom

---

No. 6
# Cs4Pm3ZrTe8 | Alexandria | PBE | relaxed
data_Cs4Pm3ZrTe8
_chemical_formula_sum 'Cs12 Pm9 Zr3 Te24'
_cell_length_a 9.1003
_cell_length_b 9.1003
_cell_length_c 26.8797
_cell_angle_alpha 90.00
_cell_angle_beta 90.00
_cell_angle_gamma 120.00
_symmetry_space_group_name_H-M 'R -3 m'
_symmetry_Int_Tables_number 166
_symmetry_space_group_name_Hall '-R 3 2"'
loop_
_atom_site_label
_atom_site_type_symbol
_atom_site_fract_x
_atom_site_fract_y
_atom_site_fract_z
Cs1 Cs 0.0000 0.0000 0.0000
Cs2 Cs 0.0000 0.5000 0.0000
Pm1 Pm 0.0000 0.5000 0.5000
Zr1 Zr 0.0000 0.0000 0.5000
Te1 Te 0.0000 0.0000 0.2324
Te2 Te 0.0167 0.5084 0.2300
# **Total moment**: 2.2 μB per cell
# **ρ**: 5.4 Mg/m³
# **Formation energy without anion corrections**: -29.390 kcal/mol of atoms

---

No. 7
# In3SiI | Alexandria | PBE | relaxed
data_In3SiI
_chemical_formula_sum 'In3 Si1 I1'
_cell_length_a 6.283
_cell_length_b 6.283
_cell_length_c 6.283
_cell_angle_alpha 90.00
_cell_angle_beta 90.00
_cell_angle_gamma 90.00
_symmetry_space_group_name_H-M 'P m -3 m'
_symmetry_Int_Tables_number 221
_symmetry_space_group_name_Hall '-P 4 2 3'
loop_
_atom_site_label
_atom_site_type_symbol
_atom_site_fract_x
_atom_site_fract_y
_atom_site_fract_z
In1 In 0.000 0.000 0.500
Si1 Si 0.500 0.500 0.500
I1 I 0.000 0.000 0.000
# **Total moment**: 2.0 μB per cell
# **ρ**: 3.3 Mg/m³
# **Formation energy without anion corrections**: 22.015 kcal/mol of atoms
# **Distance to the lowest polymorph of the same formula**: 0.8049 eV per atom

---

No. 8
# Ir3Os3Ru | Alexandria | PBE | relaxed
data_Ir3Os3Ru
_chemical_formula_sum 'Ir6 Os6 Ru2'
_cell_length_a 11.3195
_cell_length_b 11.3195
_cell_length_c 2.6551
_cell_angle_alpha 90.00
_cell_angle_beta 90.00
_cell_angle_gamma 120.00
_symmetry_space_group_name_H-M 'P 63/m'
_symmetry_Int_Tables_number 176
_symmetry_space_group_name_Hall '-P 6c'
loop_
_atom_site_label
_atom_site_type_symbol
_atom_site_fract_x
_atom_site_fract_y
_atom_site_fract_z
Ir1 Ir 0.0714 0.4488 0.2500
Os1 Os 0.1453 0.7194 0.2500
Ru1 Ru 0.3333 0.6667 0.2500
# **Total moment**: 0.0 μB per cell
# **ρ**: 14.1 Mg/m³
# **Calculated total energy**: -9.071 eV/atom

---

No. 9
# Ac4TbNd3 | Alexandria | PBE | relaxed
data_Ac4TbNd3
_chemical_formula_sum 'Ac8 Tb2 Nd6'
_cell_length_a 10.937
_cell_length_b 7.592
_cell_length_c 7.590
_cell_angle_alpha 90.00
_cell_angle_beta 90.00
_cell_angle_gamma 90.00
_symmetry_space_group_name_H-M 'P m n 21'
_symmetry_Int_Tables_number 31
loop_
_symmetry_equiv_pos_as_xyz
'x,y,z'
'-x+1/2,-y,z+1/2'
'-x,y,z'
'x+1/2,-y,z+1/2'
loop_
_atom_site_label
_atom_site_type_symbol
_atom_site_fract_x
_atom_site_fract_y
_atom_site_fract_z
Ac1 Ac 0.000 0.001 0.000
Ac2 Ac 0.000 0.499 0.499
Ac3 Ac 0.249 0.751 0.749
Tb1 Tb 0.000 0.000 0.499
Nd1 Nd 0.000 0.500 0.000
Nd2 Nd 0.250 0.248 0.749
# **Total moment**: 0.0 μB per cell
# **ρ**: 7.9 Mg/m³
# **Calculated total energy**: -4.382 eV/atom

---

No. 10
# Cs3KSn2I9 | Alexandria | PBE | relaxed
data_Cs3KSn2I9
_chemical_formula_sum 'Cs3 K1 Sn2 I9'
_cell_length_a 8.9552
_cell_length_b 8.9552
_cell_length_c 11.0336
_cell_angle_alpha 90.00
_cell_angle_beta 90.00
_cell_angle_gamma 120.00
_symmetry_space_group_name_H-M 'P -3 m 1'
_symmetry_Int_Tables_number 164
_symmetry_space_group_name_Hall '-P 3 2"'
loop_
_atom_site_label
_atom_site_type_symbol
_atom_site_fract_x
_atom_site_fract_y
_atom_site_fract_z
Cs1 Cs 0.0000 0.0000 0.0000
Cs2 Cs 0.3333 0.6667 0.6693
K1 K 0.0000 0.0000 0.5000
Sn1 Sn 0.3333 0.6667 0.1607
I1 I 0.0000 0.5000 0.0000
I2 I 0.1754 0.3508 0.3191
# **Total moment**: 0.0 μB per cell
# **ρ**: 3.9 Mg/m³
# **Formation energy without anion corrections**: -23.326 kcal/mol of atoms

---

No. 11
# Np2TlPd9 | Alexandria | PBE | relaxed
data_Np2TlPd9
_chemical_formula_sum 'Np2 Tl1 Pd9'
_cell_length_a 4.126
_cell_length_b 4.126
_cell_length_c 12.349
_cell_angle_alpha 90.00
_cell_angle_beta 90.00
_cell_angle_gamma 90.00
_symmetry_space_group_name_H-M 'P 4/m m m'
_symmetry_Int_Tables_number 123
_symmetry_space_group_name_Hall '-P 4 2'
loop_
_atom_site_label
_atom_site_type_symbol
_atom_site_fract_x
_atom_site_fract_y
_atom_site_fract_z
Np1 Np 0.000 0.000 0.169
Tl1 Tl 0.000 0.000 0.500
Pd1 Pd 0.000 0.500 0.000
Pd2 Pd 0.000 0.500 0.331
Pd3 Pd 0.500 0.500 0.167
Pd4 Pd 0.500 0.500 0.500
# **Total moment**: 6.3 μB per cell
# **ρ**: 12.9 Mg/m³
# **Calculated total energy**: -6.627 eV/atom

---

No. 12
# DyMnCo2 | Alexandria | PBE | relaxed
data_DyMnCo2
_chemical_formula_sum 'Dy4 Mn4 Co8'
_cell_length_a 4.844
_cell_length_b 4.463
_cell_length_c 11.981
_cell_angle_alpha 90.00
_cell_angle_beta 90.00
_cell_angle_gamma 90.00
_symmetry_space_group_name_H-M 'P m m a'
_symmetry_Int_Tables_number 51
loop_
_symmetry_equiv_pos_as_xyz
'x,y,z'
'-x,-y,-z'
'-x+1/2,-y,z'
'x+1/2,y,-z'
'x+1/2,-y,-z'
'-x+1/2,y,z'
'-x,y,-z'
'x,-y,z'
loop_
_atom_site_label
_atom_site_type_symbol
_atom_site_fract_x
_atom_site_fract_y
_atom_site_fract_z
Dy1 Dy 0.250 0.000 0.093
Dy2 Dy 0.250 0.500 0.308
Mn1 Mn 0.250 0.000 0.671
Mn2 Mn 0.250 0.500 0.550
Co1 Co 0.000 0.000 0.500
Co2 Co 0.000 0.500 0.000
Co3 Co 0.250 0.254 0.842
# **Total moment**: 4.5 μB per cell
# **ρ**: 8.6 Mg/m³
# **Distance to the lowest polymorph of the same formula**: 0.0997 eV per atom

---

No. 13
# SrTcHg2 | Alexandria | PBE | relaxed
data_SrTcHg2
_chemical_formula_sum 'Sr4 Tc4 Hg8'
_cell_length_a 5.076
_cell_length_b 5.076
_cell_length_c 18.764
_cell_angle_alpha 90.00
_cell_angle_beta 90.00
_cell_angle_gamma 90.00
_symmetry_space_group_name_H-M 'I -4 2 d'
_symmetry_Int_Tables_number 122
_symmetry_space_group_name_Hall 'I -4 2bw'
loop_
_atom_site_label
_atom_site_type_symbol
_atom_site_fract_x
_atom_site_fract_y
_atom_site_fract_z
Sr1 Sr 0.000 0.000 0.000
Tc1 Tc 0.000 0.000 0.500
Hg1 Hg 0.140 0.250 0.625
# **Total moment**: 7.3 μB per cell
# **ρ**: 8.1 Mg/m³
# **Distance to the lowest polymorph of the same formula**: 0.2513 eV per atom

---

No. 14
# Dy2ZrZn | Alexandria | PBE | relaxed
data_Dy2ZrZn
_chemical_formula_sum 'Dy2 Zr1 Zn1'
_cell_length_a 4.616
_cell_length_b 4.616
_cell_length_c 4.538
_cell_angle_alpha 90.00
_cell_angle_beta 90.00
_cell_angle_gamma 90.00
_symmetry_space_group_name_H-M 'P 4/m m m'
_symmetry_Int_Tables_number 123
_symmetry_space_group_name_Hall '-P 4 2'
loop_
_atom_site_label
_atom_site_type_symbol
_atom_site_fract_x
_atom_site_fract_y
_atom_site_fract_z
Dy1 Dy 0.000 0.500 0.000
Zr1 Zr 0.000 0.000 0.500
Zn1 Zn 0.500 0.500 0.500
# **Total moment**: 0.0 μB per cell
# **ρ**: 8.3 Mg/m³
# **Distance to the lowest polymorph of the same formula**: 0.1299 eV per atom

---

No. 15
# BaYSe2 | Alexandria | PBE | relaxed
data_BaYSe2
_chemical_formula_sum 'Ba3 Y3 Se6'
_cell_length_a 4.2199
_cell_length_b 4.2199
_cell_length_c 23.1034
_cell_angle_alpha 90.00
_cell_angle_beta 90.00
_cell_angle_gamma 120.00
_symmetry_space_group_name_H-M 'R 3 m'
_symmetry_Int_Tables_number 160
_symmetry_space_group_name_Hall 'R 3 -2"'
loop_
_atom_site_label
_atom_site_type_symbol
_atom_site_fract_x
_atom_site_fract_y
_atom_site_fract_z
Ba1 Ba 0.0000 0.0000 0.0000
Y1 Y 0.0000 0.0000 0.1729
Se1 Se 0.0000 0.0000 0.5742
Se2 Se 0.0000 0.0000 0.7670
# **Total moment**: 0.0 μB per cell
# **ρ**: 5.4 Mg/m³
# **Formation energy without anion corrections**: -42.278 kcal/mol of atoms
# **Distance to the lowest polymorph of the same formula**: 0.0546 eV per atom

---

No. 16
# Mg3InRe | Alexandria | PBE | relaxed
data_Mg3InRe
_chemical_formula_sum 'Mg3 In1 Re1'
_cell_length_a 5.199
_cell_length_b 5.199
_cell_length_c 5.199
_cell_angle_alpha 90.00
_cell_angle_beta 90.00
_cell_angle_gamma 90.00
_symmetry_space_group_name_H-M 'P m -3 m'
_symmetry_Int_Tables_number 221
_symmetry_space_group_name_Hall '-P 4 2 3'
loop_
_atom_site_label
_atom_site_type_symbol
_atom_site_fract_x
_atom_site_fract_y
_atom_site_fract_z
Mg1 Mg 0.000 0.000 0.500
In1 In 0.000 0.000 0.000
Re1 Re 0.500 0.500 0.500
# **Total moment**: 4.1 μB per cell
# **ρ**: 4.4 Mg/m³
# **Distance to the lowest polymorph of the same formula**: 0.5067 eV per atom

---

No. 17
# Ac3InIr8 | Alexandria | PBE | relaxed
data_Ac3InIr8
_chemical_formula_sum 'Ac9 In3 Ir24'
_cell_length_a 5.5195
_cell_length_b 5.5195
_cell_length_c 27.0135
_cell_angle_alpha 90.00
_cell_angle_beta 90.00
_cell_angle_gamma 120.00
_symmetry_space_group_name_H-M 'R 3 m'
_symmetry_Int_Tables_number 160
_symmetry_space_group_name_Hall 'R 3 -2"'
loop_
_atom_site_label
_atom_site_type_symbol
_atom_site_fract_x
_atom_site_fract_y
_atom_site_fract_z
Ac1 Ac 0.0000 0.0000 0.0000
Ac2 Ac 0.0000 0.0000 0.1271
Ac3 Ac 0.0000 0.0000 0.6211
In1 In 0.0000 0.0000 0.4974
Ir1 Ir 0.0000 0.0000 0.3127
Ir2 Ir 0.0000 0.0000 0.8128
Ir3 Ir 0.0033 0.5017 0.0640
Ir4 Ir 0.1675 0.3350 0.8939
# **Total moment**: 0.0 μB per cell
# **ρ**: 16.3 Mg/m³
# **Calculated total energy**: -7.547 eV/atom

---

No. 18
# Dy3ErTl3 | Alexandria | PBE | relaxed
data_Dy3ErTl3
_chemical_formula_sum 'Dy6 Er2 Tl6'
_cell_length_a 9.3712
_cell_length_b 9.3712
_cell_length_c 5.2386
_cell_angle_alpha 90.00
_cell_angle_beta 90.00
_cell_angle_gamma 120.00
_symmetry_space_group_name_H-M 'P 63/m'
_symmetry_Int_Tables_number 176
_symmetry_space_group_name_Hall '-P 6c'
loop_
_atom_site_label
_atom_site_type_symbol
_atom_site_fract_x
_atom_site_fract_y
_atom_site_fract_z
Dy1 Dy 0.0033 0.7681 0.2500
Er1 Er 0.3333 0.6667 0.2500
Tl1 Tl 0.0725 0.6218 0.7500
# **Total moment**: 0.0 μB per cell
# **ρ**: 10.6 Mg/m³
# **Distance to the lowest polymorph of the same formula**: 0.0406 eV per atom

---

No. 19
# K6PbF12 | Alexandria | PBE | relaxed
data_K6PbF12
_chemical_formula_sum 'K18 Pb3 F36'
_cell_length_a 11.3115
_cell_length_b 11.3115
_cell_length_c 10.6565
_cell_angle_alpha 90.00
_cell_angle_beta 90.00
_cell_angle_gamma 120.00
_symmetry_space_group_name_H-M 'R -3'
_symmetry_Int_Tables_number 148
_symmetry_space_group_name_Hall '-R 3'
loop_
_atom_site_label
_atom_site_type_symbol
_atom_site_fract_x
_atom_site_fract_y
_atom_site_fract_z
K1 K 0.0676 0.8069 0.1487
Pb1 Pb 0.0000 0.0000 0.5000
F1 F 0.0494 0.8734 0.3932
F2 F 0.0660 0.8167 0.8954
# **Total moment**: 6.0 μB per cell
# **ρ**: 2.8 Mg/m³
# **Formation energy without anion corrections**: -53.280 kcal/mol of atoms

---

No. 20
# LiCePu | Alexandria | PBE | relaxed
data_LiCePu
_chemical_formula_sum 'Li2 Ce2 Pu2'
_cell_length_a 3.514
_cell_length_b 3.514
_cell_length_c 11.446
_cell_angle_alpha 90.00
_cell_angle_beta 90.00
_cell_angle_gamma 90.00
_symmetry_space_group_name_H-M 'I 4 m m'
_symmetry_Int_Tables_number 107
_symmetry_space_group_name_Hall 'I 4 -2'
loop_
_atom_site_label
_atom_site_type_symbol
_atom_site_fract_x
_atom_site_fract_y
_atom_site_fract_z
Li1 Li 0.000 0.000 0.000
Ce1 Ce 0.000 0.000 0.682
Pu1 Pu 0.000 0.000 0.327
# **Total moment**: 12.9 μB per cell
# **ρ**: 9.2 Mg/m³
# **Distance to the lowest polymorph of the same formula**: 0.0000 eV per atom